(1)
Below is BaTeP after structural relaxation, with properties calculated at the PBEsol level.

Unit cell a=5.1465 b=5.1465 c=5.1465 alpha=60.00 beta=60.00 gamma=60.00
Fractional positions:
P  0.7500  0.7500  0.7500
Te  0.0000  0.0000  0.0000
Ba  0.5000  0.5000  0.5000

## Properties
N(E_F)	3.5	states/eV per cell
raw total energy	-4.23	eV/atom
ΔE_f (raw)	-410	meV per atom

---

(2)
Below is NaLaN2F after structural relaxation, with properties calculated at the PBEsol level.

Unit cell a=4.2879 b=4.2879 c=4.7630 alpha=90.00 beta=90.00 gamma=90.00
Fractional positions:
Na  0.5000  0.5000  0.5000
N  0.0000  0.5000  0.0000
N  0.5000  0.0000  0.0000
F  0.0000  0.0000  0.5000
La  0.0000  0.0000  0.0000

## Properties
N(E_F)	1.5	states/eV per cell
raw total energy	-5.69	eV/atom
ΔE_f (raw)	-540	meV per atom

---

(3)
Below is LaReSb after structural relaxation, with properties calculated at the PBEsol level.

Unit cell a=3.8642 b=4.6169 c=4.6169 alpha=120.00 beta=90.00 gamma=90.00
Fractional positions:
La  0.0000  0.0000  0.0000
Re  0.5000  0.3333  0.6667
Sb  0.5000  0.6667  0.3333

## Properties
N(E_F)	2.3	states/eV per cell
raw total energy	-7.74	eV/atom
ΔE_f (raw)	10	meV per atom

---

The lowest raw total energy belongs to which entry? LaReSb